Entry 1:
# PBE-GGA TiVTe2Pt, optimized geometry
data_TiVTe2Pt
_cell_length_a 5.325
_cell_length_b 5.325
_cell_length_c 4.744
_cell_angle_alpha 90.00
_cell_angle_beta 90.00
_cell_angle_gamma 90.00
_space_group_name_H-M_alt 'P 4/m m m'
_space_group_IT_number 123
_space_group_name_Hall '-P 4 2'
loop_
_atom_site_label
_atom_site_fract_x
_atom_site_fract_y
_atom_site_fract_z
Ti1 0.000 0.000 0.000
V1 0.500 0.500 0.000
Te1 0.000 0.500 0.500
Pt1 0.000 0.000 0.500
# Energy relative to the elements, uncorrected   0.880 eV/atom


Entry 2:
# PBE-GGA TlSb2Mo, optimized geometry
data_TlSb2Mo
_cell_length_a 6.135
_cell_length_b 8.456
_cell_length_c 3.649
_cell_angle_alpha 90.00
_cell_angle_beta 90.00
_cell_angle_gamma 90.00
_space_group_name_H-M_alt 'C m m m'
_space_group_IT_number 65
_space_group_name_Hall '-C 2 2'
loop_
_atom_site_label
_atom_site_fract_x
_atom_site_fract_y
_atom_site_fract_z
Tl1 0.000 0.000 0.000
Sb1 0.250 0.250 0.500
Mo1 0.000 0.500 0.000
# Energy relative to the elements, uncorrected   0.628 eV/atom
# Offset from the most stable computed form   544 meV/atom


Entry 3:
# PBE-GGA LaAlPt2, optimized geometry
data_LaAlPt2
_cell_length_a 3.953
_cell_length_b 4.600
_cell_length_c 5.026
_cell_angle_alpha 90.00
_cell_angle_beta 96.47
_cell_angle_gamma 90.00
_space_group_name_H-M_alt 'P 1 m 1'
_space_group_IT_number 6
loop_
_space_group_symop_operation_xyz
'x,y,z'
'x,-y,z'
loop_
_atom_site_label
_atom_site_fract_x
_atom_site_fract_y
_atom_site_fract_z
La1 0.000 0.000 0.000
Al1 0.470 0.500 0.630
Pt1 0.507 0.500 0.120
Pt2 0.548 0.000 0.466
# Raw total energy   -6.165 eV per atom


Entry 4:
# PBE-GGA TcF, optimized geometry
data_TcF
_cell_length_a 2.6483
_cell_length_b 2.6483
_cell_length_c 8.3734
_cell_angle_alpha 90.00
_cell_angle_beta 90.00
_cell_angle_gamma 120.00
_space_group_name_H-M_alt 'P 63 m c'
_space_group_IT_number 186
_space_group_name_Hall 'P 6c -2c'
loop_
_atom_site_label
_atom_site_fract_x
_atom_site_fract_y
_atom_site_fract_z
Tc1 0.3333 0.6667 0.0000
F1 0.3333 0.6667 0.7658
# Energy relative to the elements, uncorrected   -0.546 eV/atom
# Offset from the most stable computed form   490 meV/atom


Entry 5:
# PBE-GGA Nd3Sn2Pb, optimized geometry
data_Nd3Sn2Pb
_cell_length_a 4.318
_cell_length_b 16.884
_cell_length_c 4.907
_cell_angle_alpha 90.00
_cell_angle_beta 90.00
_cell_angle_gamma 90.00
_space_group_name_H-M_alt 'C m m m'
_space_group_IT_number 65
_space_group_name_Hall '-C 2 2'
loop_
_atom_site_label
_atom_site_fract_x
_atom_site_fract_y
_atom_site_fract_z
Nd1 0.000 0.000 0.000
Nd2 0.000 0.165 0.500
Sn1 0.000 0.320 0.000
Pb1 0.000 0.500 0.500
# Offset from the most stable computed form   0 meV/atom


Entry 6:
# PBE-GGA Li2Al6W, optimized geometry
data_Li2Al6W
_cell_length_a 7.7533
_cell_length_b 7.7533
_cell_length_c 2.7553
_cell_angle_alpha 90.00
_cell_angle_beta 90.00
_cell_angle_gamma 120.00
_space_group_name_H-M_alt 'P -6 2 m'
_space_group_IT_number 189
_space_group_name_Hall 'P -6 -2'
loop_
_atom_site_label
_atom_site_fract_x
_atom_site_fract_y
_atom_site_fract_z
Li1 0.3333 0.6667 0.0000
Al1 0.0000 0.3033 0.0000
Al2 0.0000 0.6356 0.5000
W1 0.0000 0.0000 0.5000
# Offset from the most stable computed form   53 meV/atom


Entry 7:
# PBE-GGA CsInN2O, optimized geometry
data_CsInN2O
_cell_length_a 4.458
_cell_length_b 4.458
_cell_length_c 4.449
_cell_angle_alpha 90.00
_cell_angle_beta 90.00
_cell_angle_gamma 90.00
_space_group_name_H-M_alt 'P 4/m m m'
_space_group_IT_number 123
_space_group_name_Hall '-P 4 2'
loop_
_atom_site_label
_atom_site_fract_x
_atom_site_fract_y
_atom_site_fract_z
Cs1 0.000 0.000 0.000
In1 0.500 0.500 0.500
N1 0.000 0.500 0.000
O1 0.000 0.000 0.500
# Energy relative to the elements, uncorrected   2.009 eV/atom


Entry 8:
# PBE-GGA Pm2Nd6Ga, optimized geometry
data_Pm2Nd6Ga
_cell_length_a 10.105
_cell_length_b 10.560
_cell_length_c 5.583
_cell_angle_alpha 90.00
_cell_angle_beta 90.00
_cell_angle_gamma 90.00
_space_group_name_H-M_alt 'P n n m'
_space_group_IT_number 58
loop_
_space_group_symop_operation_xyz
'x,y,z'
'-x,-y,-z'
'-x,-y,z'
'x,y,-z'
'x+1/2,-y+1/2,-z+1/2'
'-x+1/2,y+1/2,z+1/2'
'-x+1/2,y+1/2,-z+1/2'
'x+1/2,-y+1/2,z+1/2'
loop_
_atom_site_label
_atom_site_fract_x
_atom_site_fract_y
_atom_site_fract_z
Pm1 0.193 0.247 0.000
Nd1 0.018 0.305 0.500
Nd2 0.133 0.897 0.000
Nd3 0.192 0.570 0.000
Ga1 0.000 0.000 0.500
# Raw total energy   -4.617 eV per atom


Entry 9:
# PBE-GGA Ce2HoZn, optimized geometry
data_Ce2HoZn
_cell_length_a 7.537
_cell_length_b 7.537
_cell_length_c 7.537
_cell_angle_alpha 90.00
_cell_angle_beta 90.00
_cell_angle_gamma 90.00
_space_group_name_H-M_alt 'F m -3 m'
_space_group_IT_number 225
_space_group_name_Hall '-F 4 2 3'
loop_
_atom_site_label
_atom_site_fract_x
_atom_site_fract_y
_atom_site_fract_z
Ce1 0.250 0.250 0.250
Ho1 0.000 0.000 0.000
Zn1 0.000 0.000 0.500
# Offset from the most stable computed form   135 meV/atom


Entry 10:
# PBE-GGA PuZn2Au10, optimized geometry
data_PuZn2Au10
_cell_length_a 5.533
_cell_length_b 13.283
_cell_length_c 13.434
_cell_angle_alpha 90.00
_cell_angle_beta 90.00
_cell_angle_gamma 90.00
_space_group_name_H-M_alt 'F m m m'
_space_group_IT_number 69
_space_group_name_Hall '-F 2 2'
loop_
_atom_site_label
_atom_site_fract_x
_atom_site_fract_y
_atom_site_fract_z
Pu1 0.000 0.000 0.000
Zn1 0.250 0.000 0.250
Au1 0.000 0.105 0.388
Au2 0.000 0.164 0.175
Au3 0.250 0.250 0.000
# Raw total energy   -4.002 eV per atom


Entry 11:
# PBE-GGA Li3TiCr2Se6, optimized geometry
data_Li3TiCr2Se6
_cell_length_a 6.366
_cell_length_b 11.021
_cell_length_c 6.722
_cell_angle_alpha 90.00
_cell_angle_beta 108.37
_cell_angle_gamma 90.00
_space_group_name_H-M_alt 'C 1 2/m 1'
_space_group_IT_number 12
loop_
_space_group_symop_operation_xyz
'x,y,z'
'-x,-y,-z'
'-x,y,-z'
'x,-y,z'
'x+1/2,y+1/2,z'
'-x+1/2,-y+1/2,-z'
'-x+1/2,y+1/2,-z'
'x+1/2,-y+1/2,z'
loop_
_atom_site_label
_atom_site_fract_x
_atom_site_fract_y
_atom_site_fract_z
Li1 0.000 0.000 0.000
Li2 0.000 0.334 0.000
Ti1 0.000 0.500 0.500
Cr1 0.000 0.167 0.500
Se1 0.235 0.000 0.730
Se2 0.247 0.329 0.729
# Energy relative to the elements, uncorrected   -0.930 eV/atom


Entry 12:
# PBE-GGA RbO2F2, optimized geometry
data_RbO2F2
_cell_length_a 3.499
_cell_length_b 3.499
_cell_length_c 12.649
_cell_angle_alpha 90.00
_cell_angle_beta 90.00
_cell_angle_gamma 90.00
_space_group_name_H-M_alt 'I 4/m m m'
_space_group_IT_number 139
_space_group_name_Hall '-I 4 2'
loop_
_atom_site_label
_atom_site_fract_x
_atom_site_fract_y
_atom_site_fract_z
Rb1 0.000 0.000 0.000
O1 0.000 0.500 0.250
F1 0.000 0.000 0.387
# Energy relative to the elements, uncorrected   -0.117 eV/atom
# Offset from the most stable computed form   1024 meV/atom


Entry 13:
# PBE-GGA SmP3Os3, optimized geometry
data_SmP3Os3
_cell_length_a 6.443
_cell_length_b 6.443
_cell_length_c 6.443
_cell_angle_alpha 90.00
_cell_angle_beta 90.00
_cell_angle_gamma 90.00
_space_group_name_H-M_alt 'P m -3 n'
_space_group_IT_number 223
_space_group_name_Hall '-P 4n 2 3'
loop_
_atom_site_label
_atom_site_fract_x
_atom_site_fract_y
_atom_site_fract_z
Sm1 0.000 0.000 0.000
P1 0.000 0.250 0.500
Os1 0.000 0.500 0.250
# Raw total energy   -7.969 eV per atom


Entry 14:
# PBE-GGA AcPr5Pb4, optimized geometry
data_AcPr5Pb4
_cell_length_a 17.491
_cell_length_b 4.958
_cell_length_c 8.537
_cell_angle_alpha 90.00
_cell_angle_beta 106.14
_cell_angle_gamma 90.00
_space_group_name_H-M_alt 'C 1 2/m 1'
_space_group_IT_number 12
loop_
_space_group_symop_operation_xyz
'x,y,z'
'-x,-y,-z'
'-x,y,-z'
'x,-y,z'
'x+1/2,y+1/2,z'
'-x+1/2,-y+1/2,-z'
'-x+1/2,y+1/2,-z'
'x+1/2,-y+1/2,z'
loop_
_atom_site_label
_atom_site_fract_x
_atom_site_fract_y
_atom_site_fract_z
Ac1 0.000 0.000 0.000
Pr1 0.000 0.000 0.500
Pr2 0.145 0.500 0.436
Pr3 0.199 0.000 0.836
Pb1 0.063 0.500 0.768
Pb2 0.194 0.000 0.248
# Raw total energy   -4.747 eV per atom


| no. | calculated density (g/cm³) |
| --- | --- |
| 1 | 6.8 |
| 2 | 9.5 |
| 3 | 10.2 |
| 4 | 7.6 |
| 5 | 8.1 |
| 6 | 4.2 |
| 7 | 5.5 |
| 8 | 6.8 |
| 9 | 7.9 |
| 10 | 15.8 |
| 11 | 4.8 |
| 12 | 3.3 |
| 13 | 10.1 |
| 14 | 8.2 |